Material: SbPdS
Method: DFT, PBE-GGA
State: optimized geometry

Properties
DOS(E_F)   2.6 states/eV/cell
Total energy   -58.53 eV for the cell shown
E_form (uncorrected)   -397 meV/atom
SG   No. 198

Unit cell a=6.2673 b=6.2673 c=6.2673 alpha=90.00 beta=90.00 gamma=90.00
Positions (direct):
Sb 0.1205 0.3795 0.6205
Sb 0.3795 0.6205 0.1205
Sb 0.6205 0.1205 0.3795
Sb 0.8795 0.8795 0.8795
Pd 0.0107 0.9893 0.4893
Pd 0.4893 0.0107 0.9893
Pd 0.5107 0.5107 0.5107
Pd 0.9893 0.4893 0.0107
S 0.1118 0.1118 0.1118
S 0.3882 0.8882 0.6118
S 0.6118 0.3882 0.8882
S 0.8882 0.6118 0.3882